1.
# PBE TbSmTi, optimized geometry
data_TbSmTi
_cell_length_a 3.586
_cell_length_b 3.586
_cell_length_c 12.914
_cell_angle_alpha 90.00
_cell_angle_beta 90.00
_cell_angle_gamma 90.00
_space_group_name_H-M_alt 'P 4/n m m'
_space_group_IT_number 129
loop_
_space_group_symop_operation_xyz
'x,y,z'
'-x,-y,-z'
'-y+1/2,x,z'
'y+1/2,-x,-z'
'-x+1/2,-y+1/2,z'
'x+1/2,y+1/2,-z'
'y,-x+1/2,z'
'-y,x+1/2,-z'
'x+1/2,-y,-z'
'-x+1/2,y,z'
'-y,-x,-z'
'y,x,z'
'-x,y+1/2,-z'
'x,-y+1/2,z'
'y+1/2,x+1/2,-z'
'-y+1/2,-x+1/2,z'
loop_
_atom_site_label
_atom_site_type_symbol
_atom_site_fract_x
_atom_site_fract_y
_atom_site_fract_z
Tb1 Tb 0.250 0.250 0.195
Sm1 Sm 0.250 0.250 0.598
Ti1 Ti 0.250 0.250 0.958
# - E (eV/f.u.) = -16.9
# - ΔH_f (0 K) (eV/atom) = 0.1003
# - N(E_F) (states/eV per atom) = 1.590



2.
# PBE Nd8Pt3SBr4, optimized geometry
data_Nd8Pt3SBr4
_cell_length_a 8.4437
_cell_length_b 8.4437
_cell_length_c 22.5895
_cell_angle_alpha 90.00
_cell_angle_beta 90.00
_cell_angle_gamma 120.00
_space_group_name_H-M_alt 'R -3 m'
_space_group_IT_number 166
_space_group_name_Hall '-R 3 2"'
loop_
_atom_site_label
_atom_site_type_symbol
_atom_site_fract_x
_atom_site_fract_y
_atom_site_fract_z
Nd1 Nd 0.0000 0.0000 0.2320
Nd2 Nd 0.0020 0.5010 0.7644
Pt1 Pt 0.0000 0.5000 0.5000
S1 S 0.0000 0.0000 0.5000
Br1 Br 0.0000 0.0000 0.0000
Br2 Br 0.0000 0.5000 0.0000
# - ΔE_f (raw) (eV/f.u.) = -20.82
# - E (eV/f.u.) = -87.9
# - N(E_F) (states/eV per atom) = 0.874



3.
# PBE Fe2AuCl, optimized geometry
data_Fe2AuCl
_cell_length_a 2.869
_cell_length_b 4.187
_cell_length_c 5.498
_cell_angle_alpha 90.00
_cell_angle_beta 104.06
_cell_angle_gamma 90.00
_space_group_name_H-M_alt 'P 1 m 1'
_space_group_IT_number 6
loop_
_space_group_symop_operation_xyz
'x,y,z'
'x,-y,z'
loop_
_atom_site_label
_atom_site_type_symbol
_atom_site_fract_x
_atom_site_fract_y
_atom_site_fract_z
Fe1 Fe 0.000 0.000 0.000
Fe2 Fe 0.295 0.500 0.768
Au1 Au 0.632 0.500 0.253
Cl1 Cl 0.325 0.000 0.630
# - ΔE_f (raw) (eV/f.u.) = 1.31
# - E (eV/f.u.) = -20.7
# - N(E_F) (states/eV per atom) = 0.648



4.
# PBE Co2SbOs, optimized geometry
data_Co2SbOs
_cell_length_a 6.075
_cell_length_b 6.075
_cell_length_c 6.075
_cell_angle_alpha 90.00
_cell_angle_beta 90.00
_cell_angle_gamma 90.00
_space_group_name_H-M_alt 'F m -3 m'
_space_group_IT_number 225
_space_group_name_Hall '-F 4 2 3'
loop_
_atom_site_label
_atom_site_type_symbol
_atom_site_fract_x
_atom_site_fract_y
_atom_site_fract_z
Co1 Co 0.250 0.250 0.250
Sb1 Sb 0.000 0.000 0.000
Os1 Os 0.000 0.000 0.500
# - ΔE_f (raw) (eV/f.u.) = 1.92
# - E (eV/f.u.) = -27.6
# - N(E_F) (states/eV per atom) = 2.866



5.
# PBE Pt2W, optimized geometry
data_Pt2W
_cell_length_a 3.377
_cell_length_b 3.377
_cell_length_c 8.322
_cell_angle_alpha 90.00
_cell_angle_beta 90.00
_cell_angle_gamma 90.00
_space_group_name_H-M_alt 'I 4/m m m'
_space_group_IT_number 139
_space_group_name_Hall '-I 4 2'
loop_
_atom_site_label
_atom_site_type_symbol
_atom_site_fract_x
_atom_site_fract_y
_atom_site_fract_z
Pt1 Pt 0.000 0.000 0.166
W1 W 0.000 0.000 0.500
# - E (eV/f.u.) = -25.7
# - ΔH_f (0 K) (eV/atom) = -0.2230
# - N(E_F) (states/eV per atom) = 0.450



6.
# PBE In2NiOs, optimized geometry
data_In2NiOs
_cell_length_a 3.036
_cell_length_b 3.036
_cell_length_c 7.804
_cell_angle_alpha 90.00
_cell_angle_beta 90.00
_cell_angle_gamma 90.00
_space_group_name_H-M_alt 'P 4 m m'
_space_group_IT_number 99
loop_
_space_group_symop_operation_xyz
'x,y,z'
'-y,x,z'
'-x,-y,z'
'y,-x,z'
'-x,y,z'
'y,x,z'
'x,-y,z'
'-y,-x,z'
loop_
_atom_site_label
_atom_site_type_symbol
_atom_site_fract_x
_atom_site_fract_y
_atom_site_fract_z
In1 In 0.000 0.000 0.000
In2 In 0.500 0.500 0.359
Ni1 Ni 0.000 0.000 0.583
Os1 Os 0.500 0.500 0.753
# - E (eV/f.u.) = -21.1
# - ΔH_f (0 K) (eV/atom) = 0.3430
# - N(E_F) (states/eV per atom) = 1.064



7.
# PBE CoSb2Pb, optimized geometry
data_CoSb2Pb
_cell_length_a 4.581
_cell_length_b 4.581
_cell_length_c 9.159
_cell_angle_alpha 90.00
_cell_angle_beta 90.00
_cell_angle_gamma 90.00
_space_group_name_H-M_alt 'I -4 m 2'
_space_group_IT_number 119
_space_group_name_Hall 'I -4 -2'
loop_
_atom_site_label
_atom_site_type_symbol
_atom_site_fract_x
_atom_site_fract_y
_atom_site_fract_z
Co1 Co 0.000 0.000 0.000
Sb1 Sb 0.000 0.000 0.500
Sb2 Sb 0.000 0.500 0.250
Pb1 Pb 0.000 0.500 0.750
# - ΔE_f (raw) (eV/f.u.) = 2.25
# - E (eV/f.u.) = -16.8
# - N(E_F) (states/eV per atom) = 1.358



8.
# PBE ScFe3Au, optimized geometry
data_ScFe3Au
_cell_length_a 4.394
_cell_length_b 4.394
_cell_length_c 4.394
_cell_angle_alpha 90.00
_cell_angle_beta 90.00
_cell_angle_gamma 90.00
_space_group_name_H-M_alt 'P m -3 m'
_space_group_IT_number 221
_space_group_name_Hall '-P 4 2 3'
loop_
_atom_site_label
_atom_site_type_symbol
_atom_site_fract_x
_atom_site_fract_y
_atom_site_fract_z
Sc1 Sc 0.000 0.000 0.000
Fe1 Fe 0.000 0.000 0.500
Au1 Au 0.500 0.500 0.500
# - E (eV/f.u.) = -28.4
# - ΔH_f (0 K) (eV/atom) = 1.3185
# - N(E_F) (states/eV per atom) = 1.074



9.
# PBE CsGaP2S, optimized geometry
data_CsGaP2S
_cell_length_a 5.894
_cell_length_b 5.894
_cell_length_c 5.756
_cell_angle_alpha 90.00
_cell_angle_beta 90.00
_cell_angle_gamma 90.00
_space_group_name_H-M_alt 'P 4/m m m'
_space_group_IT_number 123
_space_group_name_Hall '-P 4 2'
loop_
_atom_site_label
_atom_site_type_symbol
_atom_site_fract_x
_atom_site_fract_y
_atom_site_fract_z
Cs1 Cs 0.000 0.000 0.000
Ga1 Ga 0.500 0.500 0.500
P1 P 0.000 0.500 0.000
S1 S 0.000 0.000 0.500
# - ΔE_f (raw) (eV/f.u.) = 8.06
# - E (eV/f.u.) = -10.8
# - N(E_F) (states/eV per atom) = 0.878



10.
# PBE CuOsRh6, optimized geometry
data_CuOsRh6
_cell_length_a 3.827
_cell_length_b 3.827
_cell_length_c 7.664
_cell_angle_alpha 90.00
_cell_angle_beta 90.00
_cell_angle_gamma 90.00
_space_group_name_H-M_alt 'P 4/m m m'
_space_group_IT_number 123
_space_group_name_Hall '-P 4 2'
loop_
_atom_site_label
_atom_site_type_symbol
_atom_site_fract_x
_atom_site_fract_y
_atom_site_fract_z
Cu1 Cu 0.000 0.000 0.000
Os1 Os 0.000 0.000 0.500
Rh1 Rh 0.000 0.500 0.253
Rh2 Rh 0.500 0.500 0.000
Rh3 Rh 0.500 0.500 0.500
# - E (eV/f.u.) = -59.2
# - ΔH_f (0 K) (eV/atom) = 0.0330
# - N(E_F) (states/eV per atom) = 1.034



11.
# PBE DyHoEr2S4, optimized geometry
data_DyHoEr2S4
_cell_length_a 6.737
_cell_length_b 3.847
_cell_length_c 6.739
_cell_angle_alpha 90.00
_cell_angle_beta 109.09
_cell_angle_gamma 90.00
_space_group_name_H-M_alt 'P 1 2/m 1'
_space_group_IT_number 10
loop_
_space_group_symop_operation_xyz
'x,y,z'
'-x,-y,-z'
'-x,y,-z'
'x,-y,z'
loop_
_atom_site_label
_atom_site_type_symbol
_atom_site_fract_x
_atom_site_fract_y
_atom_site_fract_z
Dy1 Dy 0.000 0.000 0.000
Ho1 Ho 0.000 0.500 0.500
Er1 Er 0.500 0.000 0.500
Er2 Er 0.500 0.500 0.000
S1 S 0.253 0.000 0.750
S2 S 0.253 0.500 0.252
# - ΔE_f (raw) (eV/f.u.) = -15.73
# - E (eV/f.u.) = -50.5
# - N(E_F) (states/eV per atom) = 0.591



12.
# PBE ScCd2FeGe, optimized geometry
data_ScCd2FeGe
_cell_length_a 5.466
_cell_length_b 5.466
_cell_length_c 4.166
_cell_angle_alpha 90.00
_cell_angle_beta 90.00
_cell_angle_gamma 90.00
_space_group_name_H-M_alt 'P 4/m m m'
_space_group_IT_number 123
_space_group_name_Hall '-P 4 2'
loop_
_atom_site_label
_atom_site_type_symbol
_atom_site_fract_x
_atom_site_fract_y
_atom_site_fract_z
Sc1 Sc 0.000 0.000 0.000
Cd1 Cd 0.000 0.500 0.000
Fe1 Fe 0.000 0.000 0.500
Ge1 Ge 0.500 0.500 0.500
# - E (eV/f.u.) = -15.7
# - ΔH_f (0 K) (eV/atom) = 1.1028
# - N(E_F) (states/eV per atom) = 0.951